Record 1
A relaxed Na2Ni7O14 crystal, computed with GGA+U.

Cell: 4.929 6.503 9.096 Å, 101.06 95.56 104.57°
Space group P-1 (No. 2)
Inequivalent atoms, fractional coordinates:
Na 0.149 0.273 0.270 (multiplicity 2)
Ni 0.000 0.500 0.000 (multiplicity 1)
Ni 0.141 0.782 0.286 (multiplicity 2)
Ni 0.287 0.072 0.571 (multiplicity 2)
Ni 0.429 0.353 0.858 (multiplicity 2)
O 0.010 0.807 0.481 (multiplicity 2)
O 0.104 0.488 0.806 (multiplicity 2)
O 0.152 0.091 0.757 (multiplicity 2)
O 0.242 0.775 0.097 (multiplicity 2)
O 0.298 0.385 0.050 (multiplicity 2)
O 0.413 0.051 0.381 (multiplicity 2)
O 0.438 0.665 0.336 (multiplicity 2)

crystal system	triclinic
VASP energy	-4.638	eV/atom
spin magnetization	2.0	μB/f.u.

Record 2
A relaxed NaNi3O8 crystal, computed with GGA+U.

Cell: 5.136 8.839 6.557 Å, 90.00 109.94 90.00°
Space group Cm (No. 8)
Inequivalent atoms, fractional coordinates:
Na 0.000 0.000 0.000 (multiplicity 2)
Ni 0.313 0.161 0.551 (multiplicity 4)
Ni 0.321 0.500 0.532 (multiplicity 2)
O 0.031 0.173 0.693 (multiplicity 4)
O 0.066 0.332 0.357 (multiplicity 4)
O 0.078 0.500 0.691 (multiplicity 2)
O 0.087 0.000 0.388 (multiplicity 2)
O 0.466 0.172 0.143 (multiplicity 4)

crystal system	monoclinic
DOS(E_F)	0.22	states/eV/atom
VASP energy	-4.627	eV/atom
spin magnetization	1.0	μB/f.u.

Record 3
A relaxed Na4Ni9O18 crystal, computed with GGA+U.

Cell: 7.056 7.154 7.508 Å, 91.07 103.12 106.00°
Space group P1 (No. 1)
Inequivalent atoms, fractional coordinates:
Na 0.000 0.000 0.000 (multiplicity 1)
Na 0.074 0.070 0.591 (multiplicity 1)
Na 0.466 0.460 0.672 (multiplicity 1)
Na 0.568 0.561 0.264 (multiplicity 1)
Ni 0.002 0.494 0.463 (multiplicity 1)
Ni 0.121 0.609 0.130 (multiplicity 1)
Ni 0.221 0.720 0.793 (multiplicity 1)
Ni 0.339 0.827 0.465 (multiplicity 1)
Ni 0.443 0.949 0.133 (multiplicity 1)
Ni 0.551 0.055 0.800 (multiplicity 1)
Ni 0.663 0.163 0.470 (multiplicity 1)
Ni 0.780 0.279 0.132 (multiplicity 1)
Ni 0.892 0.390 0.800 (multiplicity 1)
O 0.039 0.349 0.029 (multiplicity 1)
O 0.099 0.761 0.553 (multiplicity 1)
O 0.127 0.449 0.703 (multiplicity 1)
O 0.206 0.871 0.229 (multiplicity 1)
O 0.267 0.570 0.363 (multiplicity 1)
O 0.288 0.983 0.869 (multiplicity 1)
O 0.352 0.682 0.032 (multiplicity 1)
O 0.425 0.094 0.561 (multiplicity 1)
O 0.452 0.771 0.701 (multiplicity 1)
O 0.524 0.207 0.241 (multiplicity 1)
O 0.583 0.895 0.393 (multiplicity 1)
O 0.665 0.340 0.897 (multiplicity 1)
O 0.677 0.015 0.036 (multiplicity 1)
O 0.741 0.425 0.564 (multiplicity 1)
O 0.808 0.128 0.711 (multiplicity 1)
O 0.887 0.545 0.224 (multiplicity 1)
O 0.896 0.224 0.376 (multiplicity 1)
O 0.987 0.657 0.893 (multiplicity 1)

crystal system	triclinic
VASP energy	-4.646	eV/atom
spin magnetization	4.0	μB/f.u.

Record 4
A relaxed Na2NiO2 crystal, computed with GGA+U.

Cell: 5.870 8.645 5.243 Å, 90.00 90.00 90.00°
Space group Ibam (No. 72)
Inequivalent atoms, fractional coordinates:
Na 0.111 0.154 0.000 (multiplicity 8)
Ni 0.000 0.500 0.250 (multiplicity 4)
O 0.222 0.410 0.000 (multiplicity 8)

crystal system	orthorhombic
VASP energy	-4.124	eV/atom
excess energy over the best structure of this formula in the dataset	51	meV/atom
spin magnetization	2.0	μB/f.u.

Record 5
A relaxed Na2Ni3O7 crystal, computed with GGA+U.

Cell: 6.567 7.175 7.519 Å, 102.84 109.33 113.72°
Space group P1 (No. 1)
Inequivalent atoms, fractional coordinates:
Na 0.000 0.000 0.000 (multiplicity 1)
Na 0.144 0.657 0.145 (multiplicity 1)
Na 0.463 0.952 0.788 (multiplicity 1)
Na 0.789 0.300 0.609 (multiplicity 1)
Ni 0.138 0.144 0.712 (multiplicity 1)
Ni 0.280 0.290 0.429 (multiplicity 1)
Ni 0.431 0.429 0.143 (multiplicity 1)
Ni 0.566 0.568 0.857 (multiplicity 1)
Ni 0.709 0.713 0.570 (multiplicity 1)
Ni 0.852 0.859 0.287 (multiplicity 1)
O 0.008 0.842 0.545 (multiplicity 1)
O 0.160 0.345 0.197 (multiplicity 1)
O 0.165 0.990 0.294 (multiplicity 1)
O 0.266 0.442 0.888 (multiplicity 1)
O 0.329 0.148 0.959 (multiplicity 1)
O 0.418 0.594 0.608 (multiplicity 1)
O 0.433 0.268 0.682 (multiplicity 1)
O 0.558 0.728 0.316 (multiplicity 1)
O 0.574 0.410 0.395 (multiplicity 1)
O 0.662 0.848 0.035 (multiplicity 1)
O 0.732 0.562 0.114 (multiplicity 1)
O 0.823 0.014 0.708 (multiplicity 1)
O 0.837 0.652 0.801 (multiplicity 1)
O 0.984 0.163 0.456 (multiplicity 1)

crystal system	triclinic
VASP energy	-4.529	eV/atom
spin magnetization	0.0	μB/f.u.

Record 6
A relaxed Na5Ni6O12 crystal, computed with GGA+U.

Cell: 5.990 6.887 6.942 Å, 66.50 76.78 67.24°
Space group P-1 (No. 2)
Inequivalent atoms, fractional coordinates:
Na 0.000 0.000 0.000 (multiplicity 1)
Na 0.178 0.324 0.673 (multiplicity 2)
Na 0.341 0.686 0.315 (multiplicity 2)
Ni 0.083 0.168 0.334 (multiplicity 2)
Ni 0.251 0.497 0.998 (multiplicity 2)
Ni 0.418 0.832 0.666 (multiplicity 2)
O 0.049 0.057 0.638 (multiplicity 2)
O 0.104 0.282 0.033 (multiplicity 2)
O 0.212 0.395 0.302 (multiplicity 2)
O 0.287 0.606 0.694 (multiplicity 2)
O 0.388 0.717 0.967 (multiplicity 2)
O 0.447 0.946 0.367 (multiplicity 2)

crystal system	triclinic
DOS(E_F)	0.29	states/eV/atom
VASP energy	-4.585	eV/atom
spin magnetization	5.0	μB/f.u.

Record 7
A relaxed Na4Ni3O7 crystal, computed with GGA+U.

Cell: 7.9623 7.9623 15.8548 Å, 90.00 90.00 120.00°
Space group R-3 (No. 148, hexagonal axes)
Inequivalent atoms, fractional coordinates:
Na 0.0000 0.0000 0.0000 (multiplicity 3)
Na 0.0000 0.0000 0.5000 (multiplicity 3)
Na 0.0553 0.2375 0.1616 (multiplicity 18)
Ni 0.0433 0.2341 0.6659 (multiplicity 18)
O 0.0000 0.0000 0.2718 (multiplicity 6)
O 0.0541 0.2360 0.3996 (multiplicity 18)
O 0.0609 0.2724 0.9332 (multiplicity 18)

crystal system	trigonal
DOS(E_F)	0.48	states/eV/atom
VASP energy	-4.464	eV/atom
spin magnetization	2.0	μB/f.u.

Record 8
A relaxed Na4Ni5O10 crystal, computed with GGA+U.

Cell: 5.166 6.342 6.926 Å, 110.16 96.35 106.02°
Space group P-1 (No. 2)
Inequivalent atoms, fractional coordinates:
Na 0.101 0.193 0.190 (multiplicity 2)
Na 0.314 0.622 0.626 (multiplicity 2)
Ni 0.102 0.699 0.204 (multiplicity 2)
Ni 0.296 0.098 0.597 (multiplicity 2)
Ni 0.500 0.500 0.000 (multiplicity 1)
O 0.019 0.776 0.476 (multiplicity 2)
O 0.167 0.614 0.926 (multiplicity 2)
O 0.184 0.182 0.859 (multiplicity 2)
O 0.370 0.009 0.325 (multiplicity 2)
O 0.397 0.593 0.288 (multiplicity 2)

crystal system	triclinic
VASP energy	-4.595	eV/atom
spin magnetization	4.0	μB/f.u.

Record 9
A relaxed Na5NiO4 crystal, computed with GGA+U.

Cell: 4.143 5.744 6.324 Å, 83.33 72.58 77.13°
Space group P-1 (No. 2)
Inequivalent atoms, fractional coordinates:
Na 0.000 0.000 0.000 (multiplicity 1)
Na 0.040 0.652 0.655 (multiplicity 2)
Na 0.461 0.670 0.162 (multiplicity 2)
Ni 0.500 0.000 0.500 (multiplicity 1)
O 0.162 0.220 0.661 (multiplicity 2)
O 0.457 0.749 0.792 (multiplicity 2)

crystal system	triclinic
VASP energy	-3.948	eV/atom
excess energy over the best structure of this formula in the dataset	154	meV/atom
spin magnetization	2.9	μB/f.u.

Record 10
A relaxed Na4NiO4 crystal, computed with GGA+U.

Cell: 5.730 5.734 8.680 Å, 80.49 71.40 68.41°
Space group P-1 (No. 2)
Inequivalent atoms, fractional coordinates:
Na 0.020 0.268 0.429 (multiplicity 2)
Na 0.095 0.752 0.180 (multiplicity 2)
Na 0.260 0.254 0.016 (multiplicity 2)
Na 0.449 0.241 0.601 (multiplicity 2)
Ni 0.347 0.717 0.757 (multiplicity 2)
O 0.137 0.523 0.803 (multiplicity 2)
O 0.204 0.974 0.619 (multiplicity 2)
O 0.333 0.481 0.359 (multiplicity 2)
O 0.344 0.859 0.926 (multiplicity 2)

crystal system	triclinic
VASP energy	-4.177	eV/atom
spin magnetization	4.1	μB/f.u.

Record 11
A relaxed Na2Ni3O5 crystal, computed with GGA+U.

Cell: 5.181 6.119 6.959 Å, 104.87 98.85 106.06°
Space group P-1 (No. 2)
Inequivalent atoms, fractional coordinates:
Na 0.101 0.199 0.205 (multiplicity 2)
Na 0.293 0.596 0.592 (multiplicity 2)
Ni 0.103 0.703 0.194 (multiplicity 2)
Ni 0.296 0.100 0.608 (multiplicity 2)
Ni 0.500 0.000 0.000 (multiplicity 1)
Ni 0.500 0.500 0.000 (multiplicity 1)
O 0.005 0.791 0.481 (multiplicity 2)
O 0.224 0.634 0.919 (multiplicity 2)
O 0.234 0.185 0.909 (multiplicity 2)
O 0.424 0.024 0.301 (multiplicity 2)
O 0.429 0.581 0.270 (multiplicity 2)

crystal system	triclinic
DOS(E_F)	0.03	states/eV/atom
VASP energy	-4.600	eV/atom
spin magnetization	4.0	μB/f.u.

Record 12
A relaxed Na3NiO2 crystal, computed with GGA+U.

Cell: 5.532 5.532 12.141 Å, 90.00 90.00 90.00°
Space group P4_12_12 (No. 92)
Inequivalent atoms, fractional coordinates:
Na 0.022 0.476 0.375 (multiplicity 8)
Na 0.057 0.943 0.250 (multiplicity 4)
Ni 0.003 0.003 0.500 (multiplicity 4)
O 0.222 0.767 0.011 (multiplicity 8)

crystal system	tetragonal
DOS(E_F)	0.00	states/eV/atom
VASP energy	-3.785	eV/atom
spin magnetization	1.0	μB/f.u.

Record 13
A relaxed Na5NiO4 crystal, computed with GGA+U.

Cell: 5.977 18.034 10.365 Å, 90.00 90.00 90.00°
Space group Pbca (No. 61)
Inequivalent atoms, fractional coordinates:
Na 0.073 0.140 0.202 (multiplicity 8)
Na 0.078 0.065 0.941 (multiplicity 8)
Na 0.086 0.502 0.160 (multiplicity 8)
Na 0.104 0.671 0.828 (multiplicity 8)
Na 0.104 0.748 0.579 (multiplicity 8)
Ni 0.174 0.124 0.460 (multiplicity 8)
O 0.138 0.621 0.048 (multiplicity 8)
O 0.196 0.546 0.369 (multiplicity 8)
O 0.236 0.712 0.374 (multiplicity 8)
O 0.239 0.625 0.636 (multiplicity 8)

crystal system	orthorhombic
DOS(E_F)	0.00	states/eV/atom
VASP energy	-4.102	eV/atom
excess energy over the best structure of this formula in the dataset	0	meV/atom
spin magnetization	2.9	μB/f.u.